No. 1
# Rb2NaAg2Cl6

A geometry-optimized Rb2NaAg2Cl6 structure (PBE, Alexandria via LeMat-Bulk).

Output
Uncorrected energy: -2.9895 eV per atom
Formation energy from raw total energies: -1.168 eV per atom
DOS(E_F): 7.67 states/eV/cell
Crystal system: monoclinic

Cell: 7.746 7.746 7.937 Å, 114.83 114.83 55.53°
Sites, in units of the cell vectors:
Rb 0.229 0.229 0.200
Rb 0.771 0.771 0.800
Na 0.000 0.000 0.500
Ag 0.436 0.436 0.774
Ag 0.564 0.564 0.226
Cl 0.181 0.694 0.189
Cl 0.236 0.236 0.627
Cl 0.306 0.819 0.811
Cl 0.694 0.181 0.189
Cl 0.764 0.764 0.373
Cl 0.819 0.306 0.811


No. 2
# BeTlCu2

A geometry-optimized BeTlCu2 structure (PBE, Alexandria via LeMat-Bulk).

Output
Uncorrected energy: -3.2696 eV per atom
DOS(E_F): 0.88 states/eV/cell
Energy relative to the elements: 1.21 eV per formula unit
Crystal system: trigonal

Cell: 5.017 5.017 5.017 Å, 47.20 47.20 47.20°
Sites, in units of the cell vectors:
Be 0.000 0.000 0.000
Tl 0.500 0.500 0.500
Cu 0.298 0.298 0.298
Cu 0.702 0.702 0.702


No. 3
# K2RbBi3O8

A geometry-optimized K2RbBi3O8 structure (PBE, Alexandria via LeMat-Bulk).

Output
Uncorrected energy: -5.0574 eV per atom
Formation energy from raw total energies: -1.167 eV per atom
DOS(E_F): 0.57 states/eV/cell
Crystal system: trigonal

Cell: 7.678 7.678 7.678 Å, 54.46 54.46 54.46°
Sites, in units of the cell vectors:
K 0.000 0.000 0.000
K 0.380 0.380 0.380
Rb 0.627 0.627 0.627
Bi 0.000 0.000 0.500
Bi 0.000 0.500 0.000
Bi 0.500 0.000 0.000
O 0.178 0.746 0.746
O 0.229 0.229 0.229
O 0.254 0.254 0.820
O 0.254 0.820 0.254
O 0.746 0.178 0.746
O 0.746 0.746 0.178
O 0.773 0.773 0.773
O 0.820 0.254 0.254